1.
This record from the Alexandria database describes a geometry-optimized TcBr3F structure. The functional is PBE-GGA.

Output
The raw formation energy is -13.14 kcal/mol of atoms. As for the space group: P2/c, No. 13. Its total energy is -4.0209 eV per atom. The crystal system is monoclinic. As for the energy above the lowest structure with this stoichiometry: 0.00 eV per formula unit.

Cell lengths 6.8170, 9.1263, 13.5317 Å; angles 90.00, 105.82, 90.00 degrees
Sites, in units of the cell vectors:
Tc 0.0118 0.2478 0.3372
Tc 0.0118 0.7522 0.8372
Tc 0.9882 0.2478 0.1628
Tc 0.9882 0.7522 0.6628
Br 0.0670 0.9995 0.1423
Br 0.0670 0.0005 0.6423
Br 0.1159 0.2887 0.9974
Br 0.1159 0.7113 0.4974
Br 0.3682 0.2619 0.4038
Br 0.3682 0.7381 0.9038
Br 0.6318 0.2619 0.0962
Br 0.6318 0.7381 0.5962
Br 0.8841 0.2887 0.5026
Br 0.8841 0.7113 0.0026
Br 0.9330 0.9995 0.3577
Br 0.9330 0.0005 0.8577
F 0.1190 0.4326 0.1867
F 0.1190 0.5674 0.6867
F 0.8810 0.4326 0.3133
F 0.8810 0.5674 0.8133

2.
This record from the Alexandria database describes a geometry-optimized Pu2Si9Ir3 structure. The functional is PBE-GGA.

Output
The raw formation energy is -8.79 kcal/mol of atoms. As for the space group: P1, No. 1. Its total energy is -7.8137 eV per atom. The crystal system is triclinic.

Cell lengths 6.0817, 6.1753, 12.9857 Å; angles 80.15, 82.15, 78.92 degrees
Sites, in units of the cell vectors:
Pu 0.0000 0.0000 0.0000
Pu 0.0335 0.1728 0.4901
Pu 0.3639 0.4635 0.0044
Pu 0.6157 0.7065 0.4776
Si 0.0355 0.6168 0.1698
Si 0.0510 0.1521 0.7126
Si 0.0815 0.6678 0.8235
Si 0.1473 0.6461 0.4452
Si 0.2613 0.8192 0.6311
Si 0.2636 0.2876 0.8284
Si 0.2885 0.8708 0.1727
Si 0.3697 0.3971 0.6118
Si 0.3892 0.0661 0.3273
Si 0.5421 0.2062 0.4645
Si 0.5613 0.0544 0.9179
Si 0.6222 0.7642 0.0565
Si 0.6719 0.9102 0.6494
Si 0.6766 0.5705 0.8093
Si 0.6925 0.2290 0.1684
Si 0.7715 0.4369 0.3228
Si 0.8663 0.4837 0.9777
Si 0.9139 0.9305 0.3311
Ir 0.0727 0.2246 0.2253
Ir 0.3708 0.8893 0.8018
Ir 0.3866 0.4687 0.2856
Ir 0.6486 0.2338 0.7364
Ir 0.6654 0.8217 0.2290
Ir 0.9680 0.5766 0.6585

3.
This record from the Alexandria database describes a geometry-optimized KC2 structure. The functional is PBE-GGA.

Output
As for the space group: I4_1/amd, No. 141. Its total energy is -5.2400 eV per atom. The crystal system is tetragonal. As for the energy above the lowest structure with this stoichiometry: 2.31 eV per formula unit.

Cell lengths 6.8465, 6.8465, 6.8465 Å; angles 143.87, 143.87, 52.03 degrees
Sites, in units of the cell vectors:
K 0.3750 0.6250 0.7500
K 0.6250 0.3750 0.2500
C 0.0733 0.8233 0.2500
C 0.1767 0.9267 0.2500
C 0.8233 0.0733 0.7500
C 0.9267 0.1767 0.7500

4.
This record from the Alexandria database describes a geometry-optimized Ca2HO structure. The functional is PBE-GGA.

Output
As for the space group: I-42d, No. 122. Its total energy is -4.5338 eV per atom. The crystal system is tetragonal. As for the energy above the lowest structure with this stoichiometry: 0.09 eV per formula unit.

Cell lengths 6.4898, 6.4898, 6.4898 Å; angles 129.74, 129.74, 73.82 degrees
Sites, in units of the cell vectors:
Ca 0.0969 0.6250 0.9719
Ca 0.3750 0.3469 0.4719
Ca 0.6531 0.1250 0.0281
Ca 0.8750 0.9031 0.5281
H 0.2500 0.7500 0.5000
H 0.5000 0.5000 0.0000
O 0.0000 0.0000 0.0000
O 0.7500 0.2500 0.5000

Number 1: magnetization 0.0000 μB/atom, calculated volume 40.5 Å³ per atom. Number 2: magnetization 0.7277 μB/atom, calculated volume 16.7 Å³ per atom. Number 3: magnetization 0.0000 μB/atom, calculated volume 18.5 Å³ per atom. Number 4: magnetization 0.0999 μB/atom, calculated volume 19.7 Å³ per atom.